# 1
This record from OQMD via LeMat-Bulk describes a relaxed structure of AcDyZn. The functional is PBE.

* relative energy among the computed polymorphs: 606 meV/atom
* magnetization: 0.009 μB per formula unit
* ρ: 7.51 Mg/m³
* formation energy from the elements: 663 meV/atom

a b c (Å): 7.381 7.381 7.381
angles (deg): 90.00 90.00 90.00
Space group F-43m (No. 216)
Unique sites:
Ac1 0.000 0.000 0.000
Dy1 0.250 0.250 0.750
Zn1 0.250 0.250 0.250

# 2
This record from OQMD via LeMat-Bulk describes a relaxed structure of Ac2Er. The functional is PBE.

* magnetization: 5.860 μB per formula unit
* ρ: 2.63 Mg/m³
* formation energy from the elements: 2310 meV/atom

a b c (Å): 14.634 14.634 14.634
angles (deg): 90.00 90.00 90.00
Space group Fd-3m (No. 227, origin choice 2)
Unique sites:
Ac1 0.000 0.000 0.000
Er1 0.125 0.125 0.125

# 3
This record from OQMD via LeMat-Bulk describes a relaxed structure of AcEr2. The functional is PBE.

* magnetization: 5.002 μB per formula unit
* ρ: 1.96 Mg/m³
* formation energy from the elements: 2551 meV/atom

a b c (Å): 15.605 15.605 15.605
angles (deg): 90.00 90.00 90.00
Space group Fd-3m (No. 227, origin choice 2)
Unique sites:
Ac1 0.125 0.125 0.125
Er1 0.000 0.000 0.000

# 4
This record from OQMD via LeMat-Bulk describes a relaxed structure of AcErFe. The functional is PBE.

* magnetization: 0.217 μB per formula unit
* ρ: 9.46 Mg/m³
* formation energy from the elements: 305 meV/atom

a b c (Å): 6.811 6.811 6.811
angles (deg): 90.00 90.00 90.00
Space group F-43m (No. 216)
Unique sites:
Ac1 0.000 0.000 0.000
Er1 0.000 0.000 0.500
Fe1 0.250 0.250 0.750

# 5
This record from OQMD via LeMat-Bulk describes a relaxed structure of AcErGe. The functional is PBE.

* magnetization: 0.089 μB per formula unit
* calculated total energy: -3.941 eV/atom
* ρ: 7.26 Mg/m³

a b c (Å): 7.532 7.532 7.532
angles (deg): 90.00 90.00 90.00
Space group F-43m (No. 216)
Unique sites:
Ac1 0.000 0.000 0.000
Er1 0.250 0.250 0.750
Ge1 0.250 0.250 0.250

# 6
This record from OQMD via LeMat-Bulk describes a relaxed structure of AcHoEr. The functional is PBE.

* relative energy among the computed polymorphs: 0 meV/atom
* magnetization: 0.001 μB per formula unit
* ρ: 7.44 Mg/m³
* formation energy from the elements: 688 meV/atom

a b c (Å): 7.931 7.931 7.931
angles (deg): 90.00 90.00 90.00
Space group F-43m (No. 216)
Unique sites:
Ac1 0.000 0.000 0.000
Ho1 0.000 0.000 0.500
Er1 0.250 0.250 0.250

# 7
This record from OQMD via LeMat-Bulk describes a relaxed structure of AcHoEr. The functional is PBE.

* relative energy among the computed polymorphs: 164 meV/atom
* magnetization: 0.053 μB per formula unit
* ρ: 7.37 Mg/m³
* formation energy from the elements: 852 meV/atom

a b c (Å): 7.958 7.958 7.958
angles (deg): 90.00 90.00 90.00
Space group F-43m (No. 216)
Unique sites:
Ac1 0.000 0.000 0.000
Ho1 0.250 0.250 0.250
Er1 0.250 0.250 0.750

# 8
This record from OQMD via LeMat-Bulk describes a relaxed structure of AcErIr. The functional is PBE.

* relative energy among the computed polymorphs: 0 meV/atom
* magnetization: 0.003 μB per formula unit
* ρ: 11.95 Mg/m³
* formation energy from the elements: 208 meV/atom

a b c (Å): 6.883 6.883 6.883
angles (deg): 90.00 90.00 90.00
Space group F-43m (No. 216)
Unique sites:
Ac1 0.000 0.000 0.000
Er1 0.250 0.250 0.250
Ir1 0.000 0.000 0.500